No. 1
Here is Er6Cd3Ir after structural relaxation from the Alexandria database. Energies are from PBE.

Cell: 5.2184 9.0335 11.3689 Å, 108.68 90.00 90.00°
Positions (direct):
1 Cd 0.7500 0.5851 0.2197
2 Cd 0.2500 0.4149 0.7803
3 Cd 0.7500 0.2286 0.0255
4 Cd 0.2500 0.7714 0.9745
5 Cd 0.7500 0.4910 0.6300
6 Cd 0.2500 0.5090 0.3700
7 Er 0.2500 0.2212 0.4973
8 Er 0.2500 0.1247 0.1520
9 Er 0.2500 0.6880 0.6654
10 Er 0.2500 0.8496 0.3317
11 Er 0.7500 0.5334 0.9155
12 Er 0.7500 0.8899 0.1480
13 Er 0.2500 0.1101 0.8520
14 Er 0.2500 0.4666 0.0845
15 Er 0.7500 0.1504 0.6683
16 Er 0.7500 0.7788 0.5027
17 Er 0.7500 0.3120 0.3346
18 Er 0.7500 0.8753 0.8480
19 Ir 0.7500 0.0409 0.4050
20 Ir 0.2500 0.9591 0.5950

Properties
Calculated volume (A^3/atom): 25.4
Energy of formation from the pure elements (eV per atom): -0.368
DOS(E_F) (states/eV/f.u.): 6.8

***

No. 2
Here is La3Pm2ScTe6 after structural relaxation from the Alexandria database. Energies are from PBE.

Cell: 4.4643 8.9838 9.9894 Å, 102.63 102.91 90.00°
Positions (direct):
1 Te 0.6562 0.0824 0.3124
2 Te 0.9992 0.2294 0.9984
3 Te 0.6676 0.5790 0.3352
4 Te 0.3438 0.9176 0.6876
5 Te 0.0008 0.7706 0.0016
6 Te 0.3324 0.4210 0.6648
7 La 0.5000 0.5000 0.0000
8 La 0.8275 0.1642 0.6550
9 La 0.1725 0.8358 0.3450
10 Pm 0.8326 0.6664 0.6652
11 Pm 0.1674 0.3336 0.3348
12 Sc 0.5000 0.0000 0.0000

Properties
Calculated volume (A^3/atom): 31.7
DOS(E_F) (states/eV/f.u.): 7.9
Electronic total energy (eV/cell): -66.77

***

No. 3
Here is Cu3Ni3S8 after structural relaxation from the Alexandria database. Energies are from PBE.

Cell: 6.8118 6.8118 6.8118 Å, 60.09 60.09 60.09°
Positions (direct):
1 S 0.2390 0.2390 0.2390
2 S 0.2439 0.7831 0.2439
3 S 0.2439 0.2439 0.7831
4 S 0.7610 0.7610 0.7610
5 S 0.7561 0.7561 0.2169
6 S 0.7561 0.2169 0.7561
7 S 0.7831 0.2439 0.2439
8 S 0.2169 0.7561 0.7561
9 Ni 0.0000 0.5000 0.0000
10 Ni 0.5000 0.0000 0.0000
11 Ni 0.0000 0.0000 0.5000
12 Cu 0.3769 0.3769 0.3769
13 Cu 0.0000 0.0000 0.0000
14 Cu 0.6231 0.6231 0.6231

Properties
Calculated volume (A^3/atom): 16.0
DOS(E_F) (states/eV/f.u.): 10.1
Electronic total energy (eV/cell): -65.85

***

No. 4
Here is TcNiPt3 after structural relaxation from the Alexandria database. Energies are from PBE.

Cell: 4.7406 4.7386 7.2720 Å, 83.60 109.06 110.00°
Positions (direct):
1 Pt 0.5678 0.3444 0.4170
2 Pt 0.4579 0.8443 0.1975
3 Pt 0.2609 0.8448 0.8041
4 Pt 0.0653 0.8444 0.4118
5 Pt 0.9603 0.3443 0.2028
6 Pt 0.7647 0.3440 0.8105
7 Tc 0.8627 0.8442 0.0074
8 Tc 0.1629 0.3445 0.6071
9 Ni 0.3601 0.3446 0.0012
10 Ni 0.6656 0.8444 0.6133

Properties
Relative energy among the computed polymorphs (meV per atom): 14
Calculated volume (A^3/atom): 14.5
Energy of formation from the pure elements (eV per atom): -0.119
DOS(E_F) (states/eV/f.u.): 5.9

***

No. 5
Here is La2ZrZn after structural relaxation from the Alexandria database. Energies are from PBE.

Cell: 5.0352 3.4914 6.6284 Å, 75.08 90.00 90.00°
Positions (direct):
1 La 0.0000 0.9740 0.9339
2 La 0.5000 0.2767 0.3117
3 Zn 0.0000 0.6829 0.5032
4 Zr 0.5000 0.5664 0.7512

Properties
Calculated volume (A^3/atom): 28.1
Energy of formation from the pure elements (eV per atom): -0.009
DOS(E_F) (states/eV/f.u.): 5.6

***

No. 6
Here is Ca3HoSc3Se8 after structural relaxation from the Alexandria database. Energies are from PBE.

Cell: 7.9466 7.9469 8.1548 Å, 119.17 90.00 120.00°
Positions (direct):
1 Sc 0.5000 0.0000 0.5000
2 Sc 0.0000 0.5000 0.5000
3 Sc 0.5000 0.5000 0.5000
4 Se 0.7438 0.4877 0.7313
5 Se 0.7337 0.9847 0.7356
6 Se 0.2663 0.0153 0.2644
7 Se 0.7490 0.4981 0.2643
8 Se 0.2510 0.5019 0.7357
9 Se 0.2510 0.9847 0.7356
10 Se 0.7490 0.0153 0.2644
11 Se 0.2562 0.5123 0.2687
12 Ca 0.0000 0.0000 0.0000
13 Ca 0.5000 0.5000 0.0000
14 Ca 0.0000 0.5000 0.0000
15 Ho 0.0000 0.0000 0.5000

Properties
Calculated volume (A^3/atom): 24.6
DOS(E_F) (states/eV/f.u.): 5.3
Electronic total energy (eV/cell): -84.92

***

No. 7
Here is Ac3TbAg4 after structural relaxation from the Alexandria database. Energies are from PBE.

Cell: 3.8779 3.8779 15.5763 Å, 90.00 90.00 90.00°
Positions (direct):
1 Ag 0.0000 0.0000 0.1027
2 Ag 0.0000 0.0000 0.3704
3 Ag 0.0000 0.0000 0.6296
4 Ag 0.0000 0.0000 0.8973
5 Ac 0.5000 0.5000 0.2410
6 Ac 0.5000 0.5000 0.5000
7 Ac 0.5000 0.5000 0.7590
8 Tb 0.5000 0.5000 0.0000

Properties
Calculated volume (A^3/atom): 29.3
Energy of formation from the pure elements (eV per atom): -0.263
DOS(E_F) (states/eV/f.u.): 5.3

***

No. 8
Here is RbCd2OsBr after structural relaxation from the Alexandria database. Energies are from PBE.

Cell: 6.0220 6.2870 6.0220 Å, 90.00 90.00 90.00°
Positions (direct):
1 Rb 0.0000 0.5000 0.0000
2 Os 0.5000 0.5000 0.5000
3 Cd 0.0000 0.0000 0.5000
4 Cd 0.5000 0.0000 0.0000
5 Br 0.0000 0.0000 0.0000

Properties
Calculated volume (A^3/atom): 45.6
DOS(E_F) (states/eV/f.u.): 19.8
Electronic total energy (eV/cell): -9.36

***

No. 9
Here is InCo2Pb after structural relaxation from the Alexandria database. Energies are from PBE.

Cell: 3.1078 3.1078 7.8650 Å, 90.00 90.00 90.00°
Positions (direct):
1 Co 0.5000 0.5000 0.1986
2 Co 0.0000 0.0000 0.0642
3 In 0.0000 0.0000 0.4230
4 Pb 0.5000 0.5000 0.8141

Properties
Relative energy among the computed polymorphs (meV per atom): 0
Calculated volume (A^3/atom): 19.0
Energy of formation from the pure elements (eV per atom): 0.281
DOS(E_F) (states/eV/f.u.): 3.2

***

No. 10
Here is V2RuPtC after structural relaxation from the Alexandria database. Energies are from PBE.

Cell: 3.9851 3.9851 3.9821 Å, 90.00 90.00 90.00°
Positions (direct):
1 C 0.0000 0.0000 0.0000
2 V 0.5000 0.0000 0.0000
3 V 0.0000 0.5000 0.0000
4 Pt 0.5000 0.5000 0.5000
5 Ru 0.0000 0.0000 0.5000

Properties
Calculated volume (A^3/atom): 12.6
Energy of formation from the pure elements (eV per atom): -0.288
DOS(E_F) (states/eV/f.u.): 4.1

***

No. 11
Here is DyPu2Tc after structural relaxation from the Alexandria database. Energies are from PBE.

Cell: 3.2965 3.2965 8.8146 Å, 90.00 90.00 90.00°
Positions (direct):
1 Pu 0.0000 0.0000 0.1997
2 Pu 0.0000 0.0000 0.8003
3 Dy 0.5000 0.5000 0.5000
4 Tc 0.5000 0.5000 0.0000

Properties
Relative energy among the computed polymorphs (meV per atom): 0
Calculated volume (A^3/atom): 23.9
Energy of formation from the pure elements (eV per atom): 0.094
DOS(E_F) (states/eV/f.u.): 10.4

***

No. 12
Here is LiTbSn2S4 after structural relaxation from the Alexandria database. Energies are from PBE.

Cell: 4.0229 7.0886 6.8424 Å, 71.46 90.00 90.00°
Positions (direct):
1 Sn 0.5000 0.0000 0.5000
2 Sn 0.0000 0.0000 0.0000
3 Tb 0.0000 0.5000 0.5000
4 S 0.0000 0.7330 0.7518
5 S 0.0000 0.2670 0.2482
6 S 0.5000 0.2713 0.7434
7 S 0.5000 0.7287 0.2566
8 Li 0.5000 0.5000 0.0000

Properties
Calculated volume (A^3/atom): 23.1
Electronic total energy (eV/cell): -39.54